The following is a PBE with a Hubbard U calculation of a geometry-optimized Tl2CrIrO structure, from Alexandria.

It has space group P4/mmm (No. 123), with a = 5.259 Å, b = 5.259 Å, c = 4.876 Å, α = 90.00°, β = 90.00° and γ = 90.00°. The inequivalent atoms are Tl at (0.000, 0.500, 0.000), Cr at (0.000, 0.000, 0.500), Ir at (0.000, 0.000, 0.000) and O at (0.500, 0.500, 0.500).

The magnetization comes out at 3.27 μB per cell. For the volume, the calculation gives 26.97 Å³/atom. The theoretical density comes out at 8.2 g/cm3. Its total energy is -4.54 eV per atom.